1.
Density functional theory data (PBE) for a relaxed structure of Zr4NbHg3. Values from VASP.

Quantum ESPRESSO input file:
```
&SYSTEM
  ibrav = 0, nat = 8, ntyp = 3
/
ATOMIC_SPECIES
Nb 92.91 Nb.upf
Hg 200.59 Hg.upf
Zr 91.22 Zr.upf
ATOMIC_POSITIONS angstrom
Nb 0.962 -1.927 1.227
Hg 3.123 0.185 2.848
Hg 5.386 2.397 4.546
Hg 7.649 4.609 6.243
Zr 7.834 7.656 5.876
Zr 1.014 0.991 0.760
Zr 3.296 3.221 2.472
Zr 5.552 5.426 4.165
CELL_PARAMETERS angstrom
-0.704 -1.608 3.034
2.629 -2.245 -0.580
8.847 8.647 6.637
```

Volume   173 Å³/cell
Crystal system   tetragonal
M_tot   0.000 μB/atom
E   -46.115 eV/f.u.
E_form   -0.12 eV per atom

=====

2.
Density functional theory data (PBE) for a relaxed structure of TcPbCl2. Values from VASP.

Quantum ESPRESSO input file:
```
&SYSTEM
  ibrav = 0, nat = 4, ntyp = 3
/
ATOMIC_SPECIES
Pb 207.20 Pb.upf
Tc 98.00 Tc.upf
Cl 35.45 Cl.upf
ATOMIC_POSITIONS angstrom
Pb -8.083 6.320 10.271
Tc 0.000 0.000 0.000
Cl -14.900 11.650 18.933
Cl -1.266 0.990 1.609
CELL_PARAMETERS angstrom
-6.169 2.586 7.235
-3.856 4.736 7.732
-6.142 5.318 5.575
```

Volume   86 Å³/cell
Crystal system   trigonal
M_tot   0.000 μB/atom
Formation energy without anion corrections   111 meV/atom
E   -17.324 eV/f.u.